No. 1
The following is a GGA-PBE calculation of an optimized crystal structure of Ac8CoIr4, from the Alexandria database.

a = 10.572 Å, b = 10.572 Å, c = 13.912 Å
α = 127.08°, β = 127.08°, γ = 24.05°
Atoms (fractional coordinates):
Ac 0.000 0.000 0.000
Ac 0.030 0.030 0.742
Ac 0.087 0.087 0.506
Ac 0.336 0.336 0.660
Ac 0.386 0.386 0.425
Ac 0.431 0.431 0.164
Ac 0.671 0.671 0.330
Ac 0.752 0.752 0.836
Co 0.491 0.491 0.866
Ir 0.055 0.055 0.262
Ir 0.372 0.372 0.908
Ir 0.569 0.569 0.630
Ir 0.848 0.848 0.521

## Properties
Size of the total moment in μB per cell: 0.000
Fermi-level density of states in states/eV/atom: 0.635
Formation energy in eV per atom: -0.39
Symmetry: Cm, No. 8


No. 2
The following is a GGA-PBE calculation of an optimized crystal structure of Ac5Co2Ir, from the Alexandria database.

a = 7.351 Å, b = 7.351 Å, c = 14.512 Å
α = 90.00°, β = 90.00°, γ = 133.71°
Atoms (fractional coordinates):
Ac 0.049 0.951 0.617
Ac 0.049 0.951 0.883
Ac 0.245 0.755 0.250
Ac 0.330 0.670 0.565
Ac 0.330 0.670 0.935
Ac 0.670 0.330 0.065
Ac 0.670 0.330 0.435
Ac 0.755 0.245 0.750
Ac 0.951 0.049 0.117
Ac 0.951 0.049 0.383
Co 0.145 0.855 0.057
Co 0.145 0.855 0.443
Co 0.855 0.145 0.557
Co 0.855 0.145 0.943
Ir 0.211 0.789 0.750
Ir 0.789 0.211 0.250

## Properties
Size of the total moment in μB per cell: 0.000
Fermi-level density of states in states/eV/atom: 0.733
Formation energy in eV per atom: -0.14
Symmetry: Cmcm, No. 63


No. 3
The following is a GGA-PBE calculation of an optimized crystal structure of Ac8CoIr2, from the Alexandria database.

a = 9.035 Å, b = 9.035 Å, c = 6.318 Å
α = 90.00°, β = 90.00°, γ = 120.00°
Atoms (fractional coordinates):
Ac 0.152 0.304 0.247
Ac 0.152 0.848 0.247
Ac 0.304 0.152 0.753
Ac 0.333 0.667 0.745
Ac 0.667 0.333 0.255
Ac 0.696 0.848 0.247
Ac 0.848 0.152 0.753
Ac 0.848 0.696 0.753
Co 0.000 0.000 0.000
Ir 0.333 0.667 0.246
Ir 0.667 0.333 0.754

## Properties
Size of the total moment in μB per cell: 0.000
Fermi-level density of states in states/eV/atom: 0.996
Formation energy in eV per atom: -0.08
Symmetry: P-3m1, No. 164


No. 4
The following is a GGA-PBE calculation of an optimized crystal structure of Ac6CoIr2, from the Alexandria database.

a = 9.480 Å, b = 9.480 Å, c = 8.398 Å
α = 99.63°, β = 99.63°, γ = 26.68°
Atoms (fractional coordinates):
Ac 0.003 0.003 0.233
Ac 0.330 0.330 0.428
Ac 0.340 0.340 0.912
Ac 0.660 0.660 0.088
Ac 0.670 0.670 0.572
Ac 0.997 0.997 0.767
Co 0.500 0.500 0.000
Ir 0.166 0.166 0.331
Ir 0.834 0.834 0.669

## Properties
Size of the total moment in μB per cell: 0.000
Fermi-level density of states in states/eV/atom: 0.980
Formation energy in eV per atom: -0.40
Symmetry: C2/m, No. 12


No. 5
The following is a GGA-PBE calculation of an optimized crystal structure of Ac8Co3Ir2, from the Alexandria database.

a = 8.882 Å, b = 8.882 Å, c = 7.226 Å
α = 109.42°, β = 109.42°, γ = 53.63°
Atoms (fractional coordinates):
Ac 0.101 0.101 0.420
Ac 0.127 0.637 0.089
Ac 0.363 0.873 0.911
Ac 0.369 0.369 0.575
Ac 0.631 0.631 0.425
Ac 0.637 0.127 0.089
Ac 0.873 0.363 0.911
Ac 0.899 0.899 0.580
Co 0.000 0.000 0.000
Co 0.307 0.693 0.500
Co 0.693 0.307 0.500
Ir 0.253 0.253 0.822
Ir 0.747 0.747 0.178

## Properties
Size of the total moment in μB per cell: 0.000
Fermi-level density of states in states/eV/atom: 0.589
Formation energy in eV per atom: -0.18
Symmetry: C2/m, No. 12


No. 6
The following is a GGA-PBE calculation of an optimized crystal structure of Ac12CoIr5, from the Alexandria database.

a = 7.604 Å, b = 7.604 Å, c = 14.056 Å
α = 95.16°, β = 95.16°, γ = 120.02°
Atoms (fractional coordinates):
Ac 0.037 0.710 0.611
Ac 0.129 0.463 0.887
Ac 0.204 0.204 0.113
Ac 0.290 0.963 0.389
Ac 0.364 0.364 0.611
Ac 0.463 0.129 0.887
Ac 0.537 0.871 0.113
Ac 0.636 0.636 0.389
Ac 0.710 0.037 0.611
Ac 0.796 0.796 0.887
Ac 0.871 0.537 0.113
Ac 0.963 0.290 0.389
Co 0.000 0.000 0.500
Ir 0.167 0.833 0.000
Ir 0.333 0.667 0.500
Ir 0.500 0.500 0.000
Ir 0.667 0.333 0.500
Ir 0.833 0.167 0.000

## Properties
Size of the total moment in μB per cell: 0.000
Fermi-level density of states in states/eV/atom: 0.855
Formation energy in eV per atom: -0.49
Symmetry: C2/m, No. 12


No. 7
The following is a GGA-PBE calculation of an optimized crystal structure of Ac9Co3Ir, from the Alexandria database.

a = 7.121 Å, b = 10.909 Å, c = 11.829 Å
α = 90.00°, β = 96.12°, γ = 90.00°
Atoms (fractional coordinates):
Ac 0.109 0.250 0.194
Ac 0.153 0.571 0.378
Ac 0.153 0.929 0.378
Ac 0.222 0.250 0.866
Ac 0.261 0.563 0.041
Ac 0.261 0.937 0.041
Ac 0.362 0.578 0.714
Ac 0.362 0.922 0.714
Ac 0.364 0.250 0.535
Ac 0.636 0.750 0.465
Ac 0.638 0.078 0.286
Ac 0.638 0.422 0.286
Ac 0.739 0.063 0.959
Ac 0.739 0.437 0.959
Ac 0.778 0.750 0.134
Ac 0.847 0.071 0.622
Ac 0.847 0.429 0.622
Ac 0.891 0.750 0.806
Co 0.052 0.005 0.828
Co 0.052 0.495 0.828
Co 0.500 0.000 0.500
Co 0.500 0.500 0.500
Co 0.948 0.505 0.172
Co 0.948 0.995 0.172
Ir 0.472 0.250 0.084
Ir 0.528 0.750 0.916

## Properties
Size of the total moment in μB per cell: 0.000
Fermi-level density of states in states/eV/atom: 0.871
Formation energy in eV per atom: -0.11
Symmetry: P2_1/m, No. 11


No. 8
The following is a GGA-PBE calculation of an optimized crystal structure of Ac6Co2Ir, from the Alexandria database.

a = 9.370 Å, b = 9.370 Å, c = 8.314 Å
α = 99.95°, β = 99.95°, γ = 26.65°
Atoms (fractional coordinates):
Ac 0.006 0.006 0.246
Ac 0.328 0.328 0.428
Ac 0.335 0.335 0.899
Ac 0.665 0.665 0.101
Ac 0.672 0.672 0.572
Ac 0.994 0.994 0.754
Co 0.168 0.168 0.337
Co 0.832 0.832 0.663
Ir 0.500 0.500 0.000

## Properties
Size of the total moment in μB per cell: 0.000
Fermi-level density of states in states/eV/atom: 0.963
Formation energy in eV per atom: -0.22
Symmetry: C2/m, No. 12


No. 9
The following is a GGA-PBE calculation of an optimized crystal structure of Ac12Co2Ir5, from the Alexandria database.

a = 7.959 Å, b = 9.485 Å, c = 9.548 Å
α = 104.17°, β = 90.01°, γ = 114.75°
Atoms (fractional coordinates):
Ac 0.003 0.006 0.280
Ac 0.066 0.657 0.401
Ac 0.102 0.700 0.935
Ac 0.402 0.300 0.065
Ac 0.408 0.343 0.599
Ac 0.487 0.974 0.696
Ac 0.513 0.026 0.304
Ac 0.592 0.657 0.401
Ac 0.598 0.700 0.935
Ac 0.898 0.300 0.065
Ac 0.934 0.343 0.599
Ac 0.997 0.994 0.720
Co 0.246 0.000 0.500
Co 0.754 0.000 0.500
Ir 0.187 0.374 0.337
Ir 0.198 0.397 0.856
Ir 0.500 0.000 0.000
Ir 0.802 0.603 0.144
Ir 0.813 0.626 0.663

## Properties
Size of the total moment in μB per cell: 0.000
Fermi-level density of states in states/eV/atom: 0.602
Formation energy in eV per atom: -0.40
Symmetry: P-1, No. 2


No. 10
The following is a GGA-PBE calculation of an optimized crystal structure of Ac7Co2Ir2, from the Alexandria database.

a = 7.684 Å, b = 7.684 Å, c = 7.781 Å
α = 93.43°, β = 93.43°, γ = 111.95°
Atoms (fractional coordinates):
Ac 0.000 0.000 0.000
Ac 0.042 0.412 0.716
Ac 0.410 0.410 0.260
Ac 0.412 0.042 0.716
Ac 0.588 0.958 0.284
Ac 0.590 0.590 0.740
Ac 0.958 0.588 0.284
Co 0.281 0.281 0.904
Co 0.719 0.719 0.096
Ir 0.318 0.682 0.500
Ir 0.682 0.318 0.500

## Properties
Size of the total moment in μB per cell: 0.000
Fermi-level density of states in states/eV/atom: 0.917
Formation energy in eV per atom: -0.09
Symmetry: C2/m, No. 12


No. 11
The following is a GGA-PBE calculation of an optimized crystal structure of AcCoIr, from the Alexandria database.

a = 4.181 Å, b = 4.181 Å, c = 8.876 Å
α = 90.00°, β = 90.00°, γ = 120.00°
Atoms (fractional coordinates):
Ac 0.000 0.000 0.000
Ac 0.000 0.000 0.500
Co 0.333 0.667 0.250
Co 0.667 0.333 0.750
Ir 0.333 0.667 0.750
Ir 0.667 0.333 0.250

## Properties
ΔE to the lowest computed polymorph in meV per atom: 0
Size of the total moment in μB per cell: 2.480
Fermi-level density of states in states/eV/atom: 0.743
Formation energy in eV per atom: -0.34
Symmetry: P6_3/mmc, No. 194


No. 12
The following is a GGA-PBE calculation of an optimized crystal structure of Ac5CoIr2, from the Alexandria database.

a = 7.476 Å, b = 7.476 Å, c = 14.426 Å
α = 90.00°, β = 90.00°, γ = 133.41°
Atoms (fractional coordinates):
Ac 0.054 0.946 0.620
Ac 0.054 0.946 0.880
Ac 0.259 0.741 0.250
Ac 0.329 0.671 0.570
Ac 0.329 0.671 0.930
Ac 0.671 0.329 0.070
Ac 0.671 0.329 0.430
Ac 0.741 0.259 0.750
Ac 0.946 0.054 0.120
Ac 0.946 0.054 0.380
Co 0.202 0.798 0.750
Co 0.798 0.202 0.250
Ir 0.149 0.851 0.062
Ir 0.149 0.851 0.438
Ir 0.851 0.149 0.562
Ir 0.851 0.149 0.938

## Properties
Size of the total moment in μB per cell: 0.000
Fermi-level density of states in states/eV/atom: 0.723
Formation energy in eV per atom: -0.34
Symmetry: Cmcm, No. 63


No. 13
The following is a GGA-PBE calculation of an optimized crystal structure of Ac16Co3Ir5, from the Alexandria database.

a = 8.596 Å, b = 8.596 Å, c = 13.926 Å
α = 90.03°, β = 90.03°, γ = 59.99°
Atoms (fractional coordinates):
Ac 0.000 0.000 0.000
Ac 0.000 0.000 0.498
Ac 0.020 0.480 0.485
Ac 0.160 0.160 0.225
Ac 0.166 0.667 0.227
Ac 0.324 0.837 0.727
Ac 0.325 0.325 0.723
Ac 0.480 0.020 0.485
Ac 0.483 0.483 0.484
Ac 0.504 0.971 0.987
Ac 0.508 0.508 0.988
Ac 0.659 0.659 0.221
Ac 0.667 0.166 0.227
Ac 0.830 0.830 0.730
Ac 0.837 0.324 0.727
Ac 0.971 0.504 0.987
Co 0.163 0.163 0.608
Co 0.330 0.829 0.109
Co 0.829 0.330 0.109
Ir 0.161 0.663 0.611
Ir 0.328 0.328 0.346
Ir 0.661 0.661 0.848
Ir 0.663 0.161 0.611
Ir 0.830 0.830 0.111

## Properties
Size of the total moment in μB per cell: 0.000
Fermi-level density of states in states/eV/atom: 0.742
Formation energy in eV per atom: -0.37
Symmetry: Cm, No. 8


No. 14
The following is a GGA-PBE calculation of an optimized crystal structure of Ac16Co5Ir3, from the Alexandria database.

a = 8.545 Å, b = 8.545 Å, c = 13.731 Å
α = 90.01°, β = 90.01°, γ = 59.99°
Atoms (fractional coordinates):
Ac 0.000 0.000 0.000
Ac 0.001 0.001 0.502
Ac 0.031 0.496 0.015
Ac 0.166 0.673 0.271
Ac 0.172 0.172 0.267
Ac 0.337 0.833 0.771
Ac 0.341 0.341 0.777
Ac 0.492 0.492 0.015
Ac 0.496 0.031 0.015
Ac 0.518 0.518 0.518
Ac 0.522 0.979 0.518
Ac 0.673 0.166 0.271
Ac 0.676 0.676 0.275
Ac 0.833 0.337 0.771
Ac 0.839 0.839 0.773
Ac 0.979 0.522 0.518
Co 0.172 0.671 0.890
Co 0.340 0.340 0.152
Co 0.671 0.172 0.890
Co 0.672 0.672 0.655
Co 0.838 0.838 0.391
Ir 0.170 0.170 0.888
Ir 0.338 0.839 0.388
Ir 0.839 0.338 0.388

## Properties
Size of the total moment in μB per cell: 0.000
Fermi-level density of states in states/eV/atom: 0.823
Formation energy in eV per atom: -0.23
Symmetry: Cm, No. 8


No. 15
The following is a GGA-PBE calculation of an optimized crystal structure of Ac7CoIr3, from the Alexandria database.

a = 7.400 Å, b = 7.400 Å, c = 7.423 Å
α = 103.44°, β = 103.44°, γ = 100.18°
Atoms (fractional coordinates):
Ac 0.000 0.000 0.000
Ac 0.130 0.547 0.268
Ac 0.332 0.332 0.757
Ac 0.453 0.870 0.732
Ac 0.547 0.130 0.268
Ac 0.668 0.668 0.243
Ac 0.870 0.453 0.732
Co 0.000 0.000 0.500
Ir 0.276 0.724 0.000
Ir 0.500 0.500 0.500
Ir 0.724 0.276 0.000

## Properties
Size of the total moment in μB per cell: 0.689
Fermi-level density of states in states/eV/atom: 0.841
Formation energy in eV per atom: -0.27
Symmetry: C2/m, No. 12


No. 16
The following is a GGA-PBE calculation of an optimized crystal structure of Ac6CoIr3, from the Alexandria database.

a = 12.589 Å, b = 4.352 Å, c = 12.674 Å
α = 90.00°, β = 111.56°, γ = 90.00°
Atoms (fractional coordinates):
Ac 0.053 0.250 0.405
Ac 0.102 0.750 0.940
Ac 0.234 0.250 0.757
Ac 0.251 0.750 0.283
Ac 0.402 0.250 0.567
Ac 0.437 0.250 0.101
Ac 0.563 0.750 0.899
Ac 0.598 0.750 0.433
Ac 0.749 0.250 0.717
Ac 0.766 0.750 0.243
Ac 0.898 0.250 0.060
Ac 0.947 0.750 0.595
Co 0.194 0.750 0.540
Co 0.806 0.250 0.460
Ir 0.002 0.250 0.778
Ir 0.333 0.750 0.931
Ir 0.419 0.250 0.337
Ir 0.581 0.750 0.663
Ir 0.667 0.250 0.069
Ir 0.998 0.750 0.222

## Properties
Size of the total moment in μB per cell: 0.000
Fermi-level density of states in states/eV/atom: 0.602
Formation energy in eV per atom: -0.42
Symmetry: P2_1/m, No. 11


No. 17
The following is a GGA-PBE calculation of an optimized crystal structure of Ac3CoIr, from the Alexandria database.

a = 7.954 Å, b = 7.954 Å, c = 11.862 Å
α = 127.11°, β = 127.11°, γ = 32.28°
Atoms (fractional coordinates):
Ac 0.044 0.044 0.228
Ac 0.269 0.269 0.880
Ac 0.365 0.365 0.457
Ac 0.635 0.635 0.543
Ac 0.731 0.731 0.120
Ac 0.956 0.956 0.772
Co 0.271 0.271 0.600
Co 0.729 0.729 0.400
Ir 0.398 0.398 0.214
Ir 0.602 0.602 0.786

## Properties
Size of the total moment in μB per cell: 0.000
Fermi-level density of states in states/eV/atom: 0.558
Formation energy in eV per atom: -0.28
Symmetry: C2/m, No. 12


No. 18
The following is a GGA-PBE calculation of an optimized crystal structure of AcCoIr, from the Alexandria database.

a = 6.646 Å, b = 5.457 Å, c = 5.371 Å
α = 75.73°, β = 52.73°, γ = 51.55°
Atoms (fractional coordinates):
Ac 0.166 0.834 0.166
Ac 0.834 0.166 0.834
Co 0.250 0.250 0.250
Co 0.750 0.750 0.750
Ir 0.286 0.286 0.714
Ir 0.714 0.714 0.286

## Properties
ΔE to the lowest computed polymorph in meV per atom: 591
Size of the total moment in μB per cell: 0.000
Fermi-level density of states in states/eV/atom: 1.036
Formation energy in eV per atom: 0.25
Symmetry: Fmmm, No. 69